(1)
A plane-wave DFT calculation with GGA-PBE was carried out for crystalline Pm2ScPaN4 at its relaxed geometry.

Values from the calculation:
final energy	-0.657	Ry per atom
raw formation energy	-1612	meV/atom

The structure in CIF format:
```
data_Pm2ScPaN4
_chemical_formula_sum 'Pm2 Sc1 Pa1 N4'
_cell_length_a 5.938
_cell_length_b 3.503
_cell_length_c 6.083
_cell_angle_alpha 90.00
_cell_angle_beta 108.76
_cell_angle_gamma 90.00
_space_group_name_H-M_alt 'P 1 2/m 1'
_space_group_IT_number 10
loop_
_space_group_symop_operation_xyz
'x,y,z'
'-x,-y,-z'
'-x,y,-z'
'x,-y,z'
loop_
_atom_site_label
_atom_site_fract_x
_atom_site_fract_y
_atom_site_fract_z
_atom_site_occupancy
Pm1 0.000 0.000 0.000 1
Pm2 0.500 0.500 0.000 1
Sc1 0.000 0.500 0.500 1
Pa1 0.500 0.000 0.500 1
N1 0.245 0.000 0.719 1
N2 0.257 0.500 0.281 1
```

---

(2)
A plane-wave DFT calculation with GGA-PBE was carried out for crystalline Ba2ZnBr at its relaxed geometry.

Values from the calculation:
energy above the most stable polymorph in this dataset	134	meV/atom
final energy	-0.180	Ry per atom
raw formation energy	-754	meV/atom

The structure in CIF format:
```
data_Ba2ZnBr
_chemical_formula_sum 'Ba2 Zn1 Br1'
_cell_length_a 3.903
_cell_length_b 6.013
_cell_length_c 6.024
_cell_angle_alpha 90.00
_cell_angle_beta 90.00
_cell_angle_gamma 90.00
_space_group_name_H-M_alt 'P m m m'
_space_group_IT_number 47
loop_
_space_group_symop_operation_xyz
'x,y,z'
'-x,-y,-z'
'-x,-y,z'
'x,y,-z'
'x,-y,-z'
'-x,y,z'
'-x,y,-z'
'x,-y,z'
loop_
_atom_site_label
_atom_site_fract_x
_atom_site_fract_y
_atom_site_fract_z
_atom_site_occupancy
Ba1 0.000 0.000 0.000 1
Ba2 0.000 0.500 0.500 1
Zn1 0.500 0.000 0.500 1
Br1 0.500 0.500 0.000 1
```

---

(3)
A plane-wave DFT calculation with GGA-PBE was carried out for crystalline SrMgCd2Sn2 at its relaxed geometry.

Values from the calculation:
formation energy	-290	meV/atom
final energy	-0.182	Ry per atom

The structure in CIF format:
```
data_SrMgCd2Sn2
_chemical_formula_sum 'Sr1 Mg1 Cd2 Sn2'
_cell_length_a 4.9299
_cell_length_b 4.9299
_cell_length_c 7.7429
_cell_angle_alpha 90.00
_cell_angle_beta 90.00
_cell_angle_gamma 120.00
_space_group_name_H-M_alt 'P -3 m 1'
_space_group_IT_number 164
_space_group_name_Hall '-P 3 2"'
loop_
_atom_site_label
_atom_site_fract_x
_atom_site_fract_y
_atom_site_fract_z
_atom_site_occupancy
Sr1 0.0000 0.0000 0.0000 1
Mg1 0.0000 0.0000 0.5000 1
Cd1 0.3333 0.6667 0.6682 1
Sn1 0.3333 0.6667 0.2507 1
```

---

(4)
A plane-wave DFT calculation with GGA-PBE was carried out for crystalline RbScB2 at its relaxed geometry.

Values from the calculation:
energy above the most stable polymorph in this dataset	314	meV/atom
formation energy	1576	meV/atom
final energy	-0.264	Ry per atom

The structure in CIF format:
```
data_RbScB2
_chemical_formula_sum 'Rb4 Sc4 B8'
_cell_length_a 6.659
_cell_length_b 6.659
_cell_length_c 6.659
_cell_angle_alpha 90.00
_cell_angle_beta 90.00
_cell_angle_gamma 90.00
_space_group_name_H-M_alt 'F m -3 m'
_space_group_IT_number 225
_space_group_name_Hall '-F 4 2 3'
loop_
_atom_site_label
_atom_site_fract_x
_atom_site_fract_y
_atom_site_fract_z
_atom_site_occupancy
Rb1 0.000 0.000 0.000 1
Sc1 0.000 0.000 0.500 1
B1 0.250 0.250 0.250 1
```

---

(5)
A plane-wave DFT calculation with GGA-PBE was carried out for crystalline CuIrO3 at its relaxed geometry.

Values from the calculation:
final energy	-0.359	Ry per atom
raw formation energy	686	meV/atom

The structure in CIF format:
```
data_CuIrO3
_chemical_formula_sum 'Cu1 Ir1 O3'
_cell_length_a 3.702
_cell_length_b 3.702
_cell_length_c 3.702
_cell_angle_alpha 90.00
_cell_angle_beta 90.00
_cell_angle_gamma 90.00
_space_group_name_H-M_alt 'P m -3 m'
_space_group_IT_number 221
_space_group_name_Hall '-P 4 2 3'
loop_
_atom_site_label
_atom_site_fract_x
_atom_site_fract_y
_atom_site_fract_z
_atom_site_occupancy
Cu1 0.000 0.000 0.000 1
Ir1 0.500 0.500 0.500 1
O1 0.000 0.000 0.500 1
```

---

(6)
A plane-wave DFT calculation with GGA-PBE was carried out for crystalline KTl4Ir at its relaxed geometry.

Values from the calculation:
formation energy	587	meV/atom
final energy	-0.195	Ry per atom

The structure in CIF format:
```
data_KTl4Ir
_chemical_formula_sum 'K4 Tl16 Ir4'
_cell_length_a 8.822
_cell_length_b 8.822
_cell_length_c 8.822
_cell_angle_alpha 90.00
_cell_angle_beta 90.00
_cell_angle_gamma 90.00
_space_group_name_H-M_alt 'F -4 3 m'
_space_group_IT_number 216
_space_group_name_Hall 'F -4 2 3'
loop_
_atom_site_label
_atom_site_fract_x
_atom_site_fract_y
_atom_site_fract_z
_atom_site_occupancy
K1 0.000 0.000 0.000 1
Tl1 0.124 0.124 0.624 1
Ir1 0.250 0.250 0.250 1
```

---

(7)
A plane-wave DFT calculation with GGA-PBE was carried out for crystalline Cr2ReRh at its relaxed geometry.

Values from the calculation:
formation energy	93	meV/atom
final energy	-0.711	Ry per atom

The structure in CIF format:
```
data_Cr2ReRh
_chemical_formula_sum 'Cr4 Re2 Rh2'
_cell_length_a 8.808
_cell_length_b 2.657
_cell_length_c 4.601
_cell_angle_alpha 90.00
_cell_angle_beta 99.72
_cell_angle_gamma 90.00
_space_group_name_H-M_alt 'C 1 m 1'
_space_group_IT_number 8
loop_
_space_group_symop_operation_xyz
'x,y,z'
'x,-y,z'
'x+1/2,y+1/2,z'
'x+1/2,-y+1/2,z'
loop_
_atom_site_label
_atom_site_fract_x
_atom_site_fract_y
_atom_site_fract_z
_atom_site_occupancy
Cr1 0.000 0.000 0.000 1
Cr2 0.247 0.500 0.245 1
Re1 0.004 0.500 0.493 1
Rh1 0.255 0.000 0.763 1
```

---

(8)
A plane-wave DFT calculation with GGA-PBE was carried out for crystalline KAlTc2 at its relaxed geometry.

Values from the calculation:
formation energy	1316	meV/atom
final energy	-0.373	Ry per atom

The structure in CIF format:
```
data_KAlTc2
_chemical_formula_sum 'K1 Al1 Tc2'
_cell_length_a 3.941
_cell_length_b 3.941
_cell_length_c 4.631
_cell_angle_alpha 90.00
_cell_angle_beta 90.00
_cell_angle_gamma 90.00
_space_group_name_H-M_alt 'P 4/m m m'
_space_group_IT_number 123
_space_group_name_Hall '-P 4 2'
loop_
_atom_site_label
_atom_site_fract_x
_atom_site_fract_y
_atom_site_fract_z
_atom_site_occupancy
K1 0.000 0.000 0.000 1
Al1 0.500 0.500 0.000 1
Tc1 0.000 0.500 0.500 1
```

---

(9)
A plane-wave DFT calculation with GGA-PBE was carried out for crystalline VPt3Rh2 at its relaxed geometry.

Values from the calculation:
energy above the most stable polymorph in this dataset	0	meV/atom
formation energy	-307	meV/atom
final energy	-0.536	Ry per atom

The structure in CIF format:
```
data_VPt3Rh2
_chemical_formula_sum 'V8 Pt24 Rh16'
_cell_length_a 5.494
_cell_length_b 7.751
_cell_length_c 16.565
_cell_angle_alpha 90.00
_cell_angle_beta 90.00
_cell_angle_gamma 90.00
_space_group_name_H-M_alt 'F d d d'
_space_group_IT_number 70
loop_
_space_group_symop_operation_xyz
'x,y,z'
'-x,-y,-z'
'-x+1/4,-y+1/4,z'
'x+1/4,y+1/4,-z'
'x,-y+1/4,-z+1/4'
'-x,y+1/4,z+1/4'
'-x+1/4,y,-z+1/4'
'x+1/4,-y,z+1/4'
'x,y+1/2,z+1/2'
'-x,-y+1/2,-z+1/2'
'-x+1/4,-y+3/4,z+1/2'
'x+1/4,y+3/4,-z+1/2'
'x,-y+3/4,-z+3/4'
'-x,y+3/4,z+3/4'
'-x+1/4,y+1/2,-z+3/4'
'x+1/4,-y+1/2,z+3/4'
'x+1/2,y,z+1/2'
'-x+1/2,-y,-z+1/2'
'-x+3/4,-y+1/4,z+1/2'
'x+3/4,y+1/4,-z+1/2'
'x+1/2,-y+1/4,-z+3/4'
'-x+1/2,y+1/4,z+3/4'
'-x+3/4,y,-z+3/4'
'x+3/4,-y,z+3/4'
'x+1/2,y+1/2,z'
'-x+1/2,-y+1/2,-z'
'-x+3/4,-y+3/4,z'
'x+3/4,y+3/4,-z'
'x+1/2,-y+3/4,-z+1/4'
'-x+1/2,y+3/4,z+1/4'
'-x+3/4,y+1/2,-z+1/4'
'x+3/4,-y+1/2,z+1/4'
loop_
_atom_site_label
_atom_site_fract_x
_atom_site_fract_y
_atom_site_fract_z
_atom_site_occupancy
V1 0.125 0.125 0.125 1
Pt1 0.125 0.125 0.293 1
Pt2 0.125 0.125 0.625 1
Rh1 0.125 0.125 0.458 1
```

---

(10)
A plane-wave DFT calculation with GGA-PBE was carried out for crystalline Ac3Nd3Tl2In at its relaxed geometry.

Values from the calculation:
formation energy	-225	meV/atom
final energy	-0.295	Ry per atom

The structure in CIF format:
```
data_Ac3Nd3Tl2In
_chemical_formula_sum 'Ac3 Nd3 Tl2 In1'
_cell_length_a 9.5699
_cell_length_b 9.5699
_cell_length_c 3.9768
_cell_angle_alpha 90.00
_cell_angle_beta 90.00
_cell_angle_gamma 120.00
_space_group_name_H-M_alt 'P -6 2 m'
_space_group_IT_number 189
_space_group_name_Hall 'P -6 -2'
loop_
_atom_site_label
_atom_site_fract_x
_atom_site_fract_y
_atom_site_fract_z
_atom_site_occupancy
Ac1 0.0000 0.7153 0.0000 1
Nd1 0.0000 0.3878 0.5000 1
Tl1 0.3333 0.6667 0.0000 1
In1 0.0000 0.0000 0.5000 1
```

---

(11)
A plane-wave DFT calculation with GGA-PBE was carried out for crystalline Th3PaN at its relaxed geometry.

Values from the calculation:
final energy	-0.626	Ry per atom
raw formation energy	-507	meV/atom

The structure in CIF format:
```
data_Th3PaN
_chemical_formula_sum 'Th3 Pa1 N1'
_cell_length_a 5.014
_cell_length_b 5.014
_cell_length_c 5.014
_cell_angle_alpha 90.00
_cell_angle_beta 90.00
_cell_angle_gamma 90.00
_space_group_name_H-M_alt 'P m -3 m'
_space_group_IT_number 221
_space_group_name_Hall '-P 4 2 3'
loop_
_atom_site_label
_atom_site_fract_x
_atom_site_fract_y
_atom_site_fract_z
_atom_site_occupancy
Th1 0.000 0.000 0.500 1
Pa1 0.500 0.500 0.500 1
N1 0.000 0.000 0.000 1
```

---

(12)
A plane-wave DFT calculation with GGA-PBE was carried out for crystalline YSc2Au at its relaxed geometry.

Values from the calculation:
energy above the most stable polymorph in this dataset	264	meV/atom
formation energy	-157	meV/atom
final energy	-0.423	Ry per atom

The structure in CIF format:
```
data_YSc2Au
_chemical_formula_sum 'Y4 Sc8 Au4'
_cell_length_a 7.106
_cell_length_b 7.106
_cell_length_c 7.106
_cell_angle_alpha 90.00
_cell_angle_beta 90.00
_cell_angle_gamma 90.00
_space_group_name_H-M_alt 'F m -3 m'
_space_group_IT_number 225
_space_group_name_Hall '-F 4 2 3'
loop_
_atom_site_label
_atom_site_fract_x
_atom_site_fract_y
_atom_site_fract_z
_atom_site_occupancy
Y1 0.000 0.000 0.000 1
Sc1 0.250 0.250 0.250 1
Au1 0.000 0.000 0.500 1
```

---

Listing size of the total moment for the structures above in their given order: 0.000, 0.000, 0.000, 0.000, 0.000, 0.000, 0.002, 0.003, 0.002, 0.000, 0.000, 2.100 μB/f.u..
Listing volume for the structures above in their given order: 119.80, 141.36, 162.97, 73.82, 50.74, 171.64, 53.08, 71.95, 88.18, 315.41, 126.04, 89.72 Å³/f.u..